A geometry-optimized TaMn2SnO6 structure, computed with PBE with a Hubbard U.

Summary:
**SG**: R3 (146)
**DFT total energy**: -8.009 eV per atom
**N(E_F)**: 3.60 states/eV/f.u.
**Spin magnetization**: 9.6 μB per cell

POSCAR file:
```
TaMn2SnO6
1.0
2.741 1.583 4.905
-2.741 1.583 4.905
0.000 -3.165 4.905
Ta Mn Sn O
1 2 1 6
Cartesian
0.000 0.000 0.000
0.000 0.000 4.277
0.000 0.000 11.589
0.000 0.000 7.487
-1.776 0.162 5.831
-1.168 -1.557 8.401
0.748 -1.619 5.831
-0.764 1.790 8.401
1.028 1.457 5.831
1.932 -0.233 8.401
```